# FeSi2Ge

Crystalline FeSi2Ge at its relaxed geometry (PBEsol, Alexandria via LeMat-Bulk).

```
FeSi2Ge
1.0
-3.379 -0.147 1.186
-0.314 -3.322 -1.309
4.643 -1.512 7.628
Ge Si Fe
2 4 2
direct
0.250 0.750 0.500
0.000 0.000 0.000
0.378 0.875 0.250
0.872 0.375 0.250
0.125 0.128 0.750
0.625 0.622 0.750
0.750 0.250 0.500
0.500 0.500 0.000
```

Computed properties:
Its energy is -6.16 eV per atom. The space group is I-42d. For the spin magnetization, the calculation gives 3.1 Bohr magnetons per cell. The calculation puts the formation energy from raw total energies at 189 meV per atom. For the calculated volume, the calculation gives 13.96 A^3/atom.


# La5Bi3Br

Crystalline La5Bi3Br at its relaxed geometry (PBEsol, Alexandria via LeMat-Bulk).

```
La5Bi3Br
1.0
-1.289 2.013 -6.288
1.462 -9.022 -3.188
-8.860 2.799 2.712
La Bi Br
10 6 2
direct
0.750 0.000 0.271
0.250 0.729 0.000
0.250 0.271 0.271
0.000 0.333 0.667
0.500 0.333 0.667
0.000 0.667 0.333
0.500 0.667 0.333
0.250 0.000 0.729
0.750 0.729 0.729
0.750 0.271 0.000
0.750 0.000 0.616
0.250 0.000 0.384
0.250 0.384 0.000
0.750 0.384 0.384
0.750 0.616 0.000
0.250 0.616 0.616
0.000 0.000 0.000
0.500 0.000 0.000
```

Computed properties:
Its energy is -5.74 eV per atom. The space group is P6_3/mcm. For the spin magnetization, the calculation gives 0.0 Bohr magnetons per cell. The calculation puts the formation energy from raw total energies at -1132 meV per atom. For the calculated volume, the calculation gives 30.32 A^3/atom.


# YGeRu

Crystalline YGeRu at its relaxed geometry (PBEsol, Alexandria via LeMat-Bulk).

```
YGeRu
1.0
-2.995 1.223 -2.600
-2.775 -0.254 3.076
4.091 5.903 1.378
Y Ru Ge
2 2 2
direct
0.851 0.851 0.702
0.149 0.149 0.298
0.000 0.500 0.000
0.500 0.000 0.000
0.613 0.613 0.225
0.387 0.387 0.775
```

Computed properties:
Its energy is -8.08 eV per atom. The space group is I4/mmm. For the spin magnetization, the calculation gives 0.0 Bohr magnetons per cell. The value obtained for the energy of formation from the pure elements is -0.77 eV per atom. For the calculated volume, the calculation gives 19.23 A^3/atom.


# K2AlPt

Crystalline K2AlPt at its relaxed geometry (PBEsol, Alexandria via LeMat-Bulk).

```
K2AlPt
1.0
-1.093 -1.496 2.432
5.147 -1.825 1.190
-1.734 5.271 2.462
K Al Pt
2 1 1
direct
0.000 0.000 0.500
0.000 0.500 0.500
0.500 0.000 0.000
0.500 0.500 0.000
```

Computed properties:
Its energy is -2.97 eV per atom. The space group is Cmmm. For the spin magnetization, the calculation gives 0.0 Bohr magnetons per cell. The value obtained for the energy of formation from the pure elements is 0.36 eV per atom. For the calculated volume, the calculation gives 23.02 A^3/atom.


# K3CuN

Crystalline K3CuN at its relaxed geometry (PBEsol, Alexandria via LeMat-Bulk).

```
K3CuN
1.0
-0.489 5.284 -0.615
0.117 -0.607 -5.307
-5.319 -0.499 -0.060
K Cu N
3 1 1
direct
0.000 0.500 0.000
0.000 0.000 0.500
0.500 0.000 0.000
0.500 0.500 0.500
0.000 0.000 0.000
```

Computed properties:
Its energy is -2.64 eV per atom. The space group is Pm-3m. For the spin magnetization, the calculation gives 1.0 Bohr magnetons per cell. The calculation puts the formation energy from raw total energies at 615 meV per atom. For the calculated volume, the calculation gives 30.50 A^3/atom.


# FeRe3

Crystalline FeRe3 at its relaxed geometry (PBEsol, Alexandria via LeMat-Bulk).

```
FeRe3
1.0
-1.678 1.345 1.657
0.378 -2.669 0.325
6.491 1.566 5.301
Re Fe
3 1
direct
0.000 0.000 0.500
0.667 0.333 0.237
0.667 0.333 0.763
0.000 0.000 0.000
```

Computed properties:
Its energy is -12.17 eV per atom. The space group is P-6m2. For the spin magnetization, the calculation gives 0.0 Bohr magnetons per cell. The value obtained for the energy of formation from the pure elements is 0.07 eV per atom. For the calculated volume, the calculation gives 13.61 A^3/atom.


# SrCu2Au

Crystalline SrCu2Au at its relaxed geometry (PBEsol, Alexandria via LeMat-Bulk).

```
SrCu2Au
1.0
-3.280 1.357 -2.348
-1.093 -3.875 3.144
-2.073 1.122 3.544
Au Cu Sr
1 2 1
direct
0.750 0.500 0.750
0.000 0.000 0.000
0.250 0.500 0.250
0.500 0.000 0.500
```

Computed properties:
Its energy is -3.52 eV per atom. The space group is I-4m2. For the spin magnetization, the calculation gives 0.0 Bohr magnetons per cell. Its relative energy among the computed polymorphs is 327 meV/atom. The value obtained for the energy of formation from the pure elements is 0.08 eV per atom. For the calculated volume, the calculation gives 18.69 A^3/atom.


# GaGeI

Crystalline GaGeI at its relaxed geometry (PBEsol, Alexandria via LeMat-Bulk).

```
GaGeI
1.0
4.002 0.000 0.000
0.000 4.270 0.000
0.000 2.135 10.474
I Ge Ga
2 2 2
direct
0.250 0.679 0.642
0.750 0.321 0.358
0.750 0.035 0.931
0.250 0.965 0.069
0.750 0.591 0.818
0.250 0.409 0.182
```

Computed properties:
Its energy is -3.57 eV per atom. The space group is Cmcm. For the spin magnetization, the calculation gives 0.0 Bohr magnetons per cell. The calculation puts the formation energy from raw total energies at -222 meV per atom. For the calculated volume, the calculation gives 29.83 A^3/atom.